DFT (PBE-GGA) results for crystalline ReSeBr2O at its relaxed geometry.

DFT total energy = -3.91 eV per atom
DOS at the Fermi energy = 11.91 states/eV per cell
Magnetization = 0.39 μB per cell
Space-group type = P4/mmm

Lattice parameters (Å, degrees): 5.047 5.047 4.740 90.00 90.00 90.00
Last column: magnetic moment on the atom in μB.
Element x y z (fractional)
1 O 0.500 0.500 0.500  0.01
2 Re 0.000 0.000 0.000  0.29
3 Se 0.000 0.000 0.500  -0.01
4 Br 0.000 0.500 0.000  0.02
5 Br 0.500 0.000 0.000  0.02